Entry 1:
Density functional theory data (GGA-PBE) for a geometry-optimized Sc2TaFe2 structure.

a b c (Å): 5.455 5.455 5.455
angles (deg): 134.19 134.19 66.79
Element x y z (fractional)
Sc  0.135  0.135  0.000
Sc  0.865  0.865  0.000
Ta  0.500  0.500  0.000
Fe  0.250  0.750  0.500
Fe  0.750  0.250  0.500

- Electronic total energy: -37.8 eV per cell

=====

Entry 2:
Density functional theory data (GGA-PBE) for a geometry-optimized KLaMg2Rh structure.

a b c (Å): 5.390 5.390 5.299
angles (deg): 90.00 90.00 90.00
Element x y z (fractional)
K  0.000  0.000  0.000
La  0.500  0.500  0.000
Mg  0.000  0.500  0.500
Mg  0.500  0.000  0.500
Rh  0.500  0.500  0.500

- Electronic total energy: -17.7 eV per cell

=====

Entry 3:
Density functional theory data (GGA-PBE) for a geometry-optimized LiDy3Rh structure.

a b c (Å): 9.411 8.606 5.884
angles (deg): 78.54 63.66 37.79
Element x y z (fractional)
Li  0.190  0.810  0.810
Li  0.810  0.190  0.190
Dy  0.199  0.199  0.801
Dy  0.207  0.573  0.427
Dy  0.427  0.793  0.207
Dy  0.573  0.207  0.793
Dy  0.793  0.427  0.573
Dy  0.801  0.801  0.199
Rh  0.250  0.250  0.250
Rh  0.750  0.750  0.750

- Electronic total energy: -49.4 eV per cell

=====

Entry 4:
Density functional theory data (GGA-PBE) for a geometry-optimized K4ZrBr structure.

a b c (Å): 7.512 7.512 7.512
angles (deg): 60.00 60.00 60.00
Element x y z (fractional)
K  0.125  0.125  0.125
K  0.125  0.125  0.625
K  0.125  0.625  0.125
K  0.625  0.125  0.125
Zr  0.750  0.750  0.750
Br  0.500  0.500  0.500

- Electronic total energy: -11.5 eV per cell
- Formation energy without anion corrections: 521 meV per atom

=====

Entry 5:
Density functional theory data (GGA-PBE) for a geometry-optimized HoH8Rh4 structure.

a b c (Å): 5.578 5.673 5.828
angles (deg): 90.97 118.30 119.36
Element x y z (fractional)
Ho  0.000  0.000  0.000
H  0.061  0.349  0.770
H  0.073  0.272  0.373
H  0.427  0.728  0.630
H  0.445  0.667  0.224
H  0.555  0.333  0.776
H  0.573  0.272  0.370
H  0.927  0.728  0.627
H  0.939  0.651  0.230
Rh  0.000  0.500  0.000
Rh  0.000  0.500  0.500
Rh  0.500  0.500  0.000
Rh  0.500  0.500  0.500

- Electronic total energy: -62.7 eV per cell

=====

Entry 6:
Density functional theory data (GGA-PBE) for a geometry-optimized Pr6HIr2I3 structure.

a b c (Å): 7.236 7.236 8.520
angles (deg): 98.20 98.20 119.83
Element x y z (fractional)
Pr  0.101  0.439  0.815
Pr  0.224  0.224  0.187
Pr  0.439  0.101  0.815
Pr  0.561  0.899  0.185
Pr  0.776  0.776  0.813
Pr  0.899  0.561  0.185
H  0.500  0.500  0.000
Ir  0.166  0.834  0.000
Ir  0.834  0.166  0.000
I  0.000  0.000  0.500
I  0.332  0.668  0.500
I  0.668  0.332  0.500

- Electronic total energy: -64.3 eV per cell

=====

Entry 7:
Density functional theory data (GGA-PBE) for a geometry-optimized Rb3Pm3CrSe8 structure.

a b c (Å): 9.551 9.551 9.551
angles (deg): 51.74 51.74 51.74
Element x y z (fractional)
Rb  0.000  0.500  0.500
Rb  0.500  0.000  0.500
Rb  0.500  0.500  0.000
Pm  0.000  0.000  0.500
Pm  0.000  0.500  0.000
Pm  0.500  0.000  0.000
Cr  0.500  0.500  0.500
Se  0.234  0.234  0.234
Se  0.263  0.710  0.710
Se  0.290  0.290  0.737
Se  0.290  0.737  0.290
Se  0.710  0.263  0.710
Se  0.710  0.710  0.263
Se  0.737  0.290  0.290
Se  0.766  0.766  0.766

- Electronic total energy: -75.5 eV per cell
- Formation energy without anion corrections: -1391 meV per atom

=====

Entry 8:
Density functional theory data (GGA-PBE) for a geometry-optimized LaPm2Y2Er structure.

a b c (Å): 7.108 5.725 9.857
angles (deg): 90.00 90.00 90.00
Element x y z (fractional)
La  0.000  0.000  0.000
La  0.500  0.000  0.000
Pm  0.250  0.000  0.336
Pm  0.250  0.500  0.828
Pm  0.750  0.000  0.664
Pm  0.750  0.500  0.172
Y  0.000  0.500  0.500
Y  0.250  0.000  0.665
Y  0.500  0.500  0.500
Y  0.750  0.000  0.335
Er  0.250  0.500  0.168
Er  0.750  0.500  0.832

- Electronic total energy: -63.1 eV per cell

=====

Entry 9:
Density functional theory data (GGA-PBE) for a geometry-optimized SmEr3Tm12 structure.

a b c (Å): 4.948 4.948 19.791
angles (deg): 90.00 90.00 90.00
Element x y z (fractional)
Sm  0.000  0.000  0.000
Er  0.000  0.000  0.251
Er  0.000  0.000  0.500
Er  0.000  0.000  0.749
Tm  0.000  0.500  0.126
Tm  0.000  0.500  0.375
Tm  0.000  0.500  0.625
Tm  0.000  0.500  0.874
Tm  0.500  0.000  0.126
Tm  0.500  0.000  0.375
Tm  0.500  0.000  0.625
Tm  0.500  0.000  0.874
Tm  0.500  0.500  0.000
Tm  0.500  0.500  0.251
Tm  0.500  0.500  0.500
Tm  0.500  0.500  0.749

- Electronic total energy: -71.7 eV per cell

=====

Entry 10:
Density functional theory data (GGA-PBE) for a geometry-optimized Pm12Ir5Pb structure.

a b c (Å): 8.679 8.679 8.679
angles (deg): 112.30 111.69 104.53
Element x y z (fractional)
Pm  0.034  0.224  0.810
Pm  0.177  0.281  0.458
Pm  0.177  0.719  0.896
Pm  0.327  0.015  0.689
Pm  0.327  0.638  0.311
Pm  0.414  0.224  0.190
Pm  0.586  0.776  0.810
Pm  0.673  0.362  0.689
Pm  0.673  0.985  0.311
Pm  0.823  0.281  0.104
Pm  0.823  0.719  0.542
Pm  0.966  0.776  0.190
Ir  0.000  0.000  0.000
Ir  0.127  0.627  0.500
Ir  0.341  0.000  0.341
Ir  0.659  0.000  0.659
Ir  0.873  0.373  0.500
Pb  0.500  0.500  0.000

- Electronic total energy: -114.9 eV per cell

=====

Entry 11:
Density functional theory data (GGA-PBE) for a geometry-optimized TbU4As5 structure.

a b c (Å): 10.934 10.934 10.934
angles (deg): 158.61 149.34 37.69
Element x y z (fractional)
Tb  0.000  0.000  0.000
U  0.201  0.201  0.000
U  0.400  0.400  0.000
U  0.600  0.600  0.000
U  0.799  0.799  0.000
As  0.101  0.601  0.500
As  0.300  0.800  0.500
As  0.500  0.000  0.500
As  0.700  0.200  0.500
As  0.899  0.399  0.500

- Electronic total energy: -81.8 eV per cell

=====

Entry 12:
Density functional theory data (GGA-PBE) for a geometry-optimized AgSbTe2I structure.

a b c (Å): 5.834 5.834 5.901
angles (deg): 90.00 90.00 90.00
Element x y z (fractional)
Ag  0.000  0.000  0.000
Sb  0.500  0.500  0.000
Te  0.000  0.500  0.500
Te  0.500  0.000  0.500
I  0.500  0.500  0.500

- Electronic total energy: -9.6 eV per cell
- Formation energy without anion corrections: 1046 meV per atom